Below is an optimized crystal structure of NbTlAg2S4, with properties calculated at the PBE level.

## Properties
The calculation puts the total magnetic moment at 0.0 μB/cell. Its uncorrected formation energy is -0.48 eV/atom.

Cell lengths 6.5967, 6.5967, 6.6830 Å; angles 119.48, 119.48, 90.16 degrees
Last column: nearest neighbours and their distance in Å.
Fractional coordinates of all 8 atoms:
Ag: 0.7500 0.2500 0.5001  4 S 2.60
Ag: 0.2500 0.7500 0.5001  4 S 2.60
S: 0.4402 0.8407 0.2809  1 Nb 2.31
S: 0.8407 0.4402 0.2809  1 Nb 2.31
S: 0.1579 0.1579 0.7178  1 Nb 2.31
S: 0.5598 0.5598 0.7178  1 Nb 2.31
Nb: 0.4996 0.4996 0.9992  4 S 2.31
Tl: 0.0020 0.0020 0.0039  4 S 3.10-3.11